# 1
# Rb3PS4 (meta-GGA SCAN, single point on PBEsol structure)
# Energy, eV/atom: -15.08
data_Rb3PS4
_chemical_formula_sum 'Rb12 P4 S16'
_space_group_name_H-M_alt 'P 1'
_space_group_IT_number 1
_cell_length_a 9.198
_cell_length_b 9.276
_cell_length_c 10.868
_cell_angle_alpha 90.00
_cell_angle_beta 90.00
_cell_angle_gamma 90.00
loop_
_space_group_symop_operation_xyz
'x,y,z'
loop_
_atom_site_label
_atom_site_fract_x
_atom_site_fract_y
_atom_site_fract_z
_atom_site_occupancy
Rb1 0.848 0.914 0.750 1
Rb2 0.652 0.414 0.250 1
Rb3 0.348 0.586 0.750 1
Rb4 0.152 0.086 0.250 1
Rb5 0.043 0.296 0.959 1
Rb6 0.457 0.796 0.041 1
Rb7 0.543 0.204 0.541 1
Rb8 0.957 0.704 0.459 1
Rb9 0.957 0.704 0.041 1
Rb10 0.543 0.204 0.959 1
Rb11 0.457 0.796 0.459 1
Rb12 0.043 0.296 0.541 1
P1 0.774 0.480 0.750 1
P2 0.726 0.980 0.250 1
P3 0.274 0.020 0.750 1
P4 0.226 0.520 0.250 1
S1 0.792 0.260 0.750 1
S2 0.708 0.760 0.250 1
S3 0.292 0.240 0.750 1
S4 0.208 0.740 0.250 1
S5 0.334 0.457 0.406 1
S6 0.166 0.957 0.594 1
S7 0.834 0.043 0.094 1
S8 0.666 0.543 0.906 1
S9 0.022 0.428 0.250 1
S10 0.478 0.928 0.750 1
S11 0.522 0.072 0.250 1
S12 0.978 0.572 0.750 1
S13 0.334 0.457 0.094 1
S14 0.166 0.957 0.906 1
S15 0.834 0.043 0.406 1
S16 0.666 0.543 0.594 1

# 2
# Rb2PS3 (meta-GGA SCAN, single point on PBEsol structure)
# Energy, eV/atom: -14.58
data_Rb2PS3
_chemical_formula_sum 'Rb16 P8 S24'
_space_group_name_H-M_alt 'P 1'
_space_group_IT_number 1
_cell_length_a 8.662
_cell_length_b 12.209
_cell_length_c 13.550
_cell_angle_alpha 90.00
_cell_angle_beta 92.62
_cell_angle_gamma 90.00
loop_
_space_group_symop_operation_xyz
'x,y,z'
loop_
_atom_site_label
_atom_site_fract_x
_atom_site_fract_y
_atom_site_fract_z
_atom_site_occupancy
Rb1 0.208 0.728 0.907 1
Rb2 0.292 0.228 0.093 1
Rb3 0.792 0.272 0.093 1
Rb4 0.708 0.772 0.907 1
Rb5 0.837 0.437 0.823 1
Rb6 0.663 0.937 0.177 1
Rb7 0.163 0.563 0.177 1
Rb8 0.337 0.063 0.823 1
Rb9 0.625 0.312 0.433 1
Rb10 0.875 0.812 0.567 1
Rb11 0.375 0.688 0.567 1
Rb12 0.125 0.188 0.433 1
Rb13 0.771 0.125 0.710 1
Rb14 0.729 0.625 0.290 1
Rb15 0.229 0.875 0.290 1
Rb16 0.271 0.375 0.710 1
P1 0.928 0.498 0.568 1
P2 0.572 0.998 0.432 1
P3 0.072 0.502 0.432 1
P4 0.428 0.002 0.568 1
P5 0.939 0.034 0.930 1
P6 0.561 0.534 0.070 1
P7 0.061 0.966 0.070 1
P8 0.439 0.466 0.930 1
S1 0.526 0.313 0.911 1
S2 0.974 0.813 0.089 1
S3 0.474 0.687 0.089 1
S4 0.026 0.187 0.911 1
S5 0.709 0.040 0.955 1
S6 0.791 0.540 0.045 1
S7 0.291 0.960 0.045 1
S8 0.209 0.460 0.955 1
S9 0.491 0.569 0.819 1
S10 0.009 0.069 0.181 1
S11 0.509 0.431 0.181 1
S12 0.991 0.931 0.819 1
S13 0.957 0.409 0.328 1
S14 0.543 0.909 0.672 1
S15 0.043 0.591 0.672 1
S16 0.457 0.091 0.328 1
S17 0.783 0.058 0.471 1
S18 0.717 0.558 0.529 1
S19 0.217 0.942 0.529 1
S20 0.283 0.442 0.471 1
S21 0.923 0.336 0.604 1
S22 0.577 0.836 0.396 1
S23 0.077 0.664 0.396 1
S24 0.423 0.164 0.604 1

# 3
# Rb3SmP2S8 (meta-GGA SCAN, single point on PBEsol structure)
# Energy, eV/atom: -15.87
data_Rb3SmP2S8
_chemical_formula_sum 'Rb6 Sm2 P4 S16'
_space_group_name_H-M_alt 'P 1'
_space_group_IT_number 1
_cell_length_a 6.723
_cell_length_b 9.649
_cell_length_c 11.420
_cell_angle_alpha 90.18
_cell_angle_beta 90.00
_cell_angle_gamma 90.00
loop_
_space_group_symop_operation_xyz
'x,y,z'
loop_
_atom_site_label
_atom_site_fract_x
_atom_site_fract_y
_atom_site_fract_z
_atom_site_occupancy
Rb1 0.197 0.642 0.094 1
Rb2 0.697 0.358 0.906 1
Rb3 0.692 0.169 0.421 1
Rb4 0.192 0.831 0.579 1
Rb5 0.192 0.395 0.651 1
Rb6 0.692 0.605 0.349 1
Sm1 0.213 0.114 0.150 1
Sm2 0.713 0.886 0.850 1
P1 0.190 0.373 0.311 1
P2 0.171 0.090 0.842 1
P3 0.671 0.910 0.158 1
P4 0.690 0.627 0.689 1
S1 0.931 0.097 0.732 1
S2 0.431 0.903 0.268 1
S3 0.195 0.267 0.938 1
S4 0.695 0.733 0.062 1
S5 0.921 0.939 0.256 1
S6 0.108 0.933 0.959 1
S7 0.421 0.061 0.744 1
S8 0.608 0.067 0.041 1
S9 0.695 0.803 0.589 1
S10 0.195 0.197 0.411 1
S11 0.449 0.654 0.798 1
S12 0.949 0.346 0.202 1
S13 0.684 0.443 0.607 1
S14 0.184 0.557 0.393 1
S15 0.940 0.645 0.793 1
S16 0.440 0.355 0.207 1

# 4
# RbSnPS2 (meta-GGA SCAN, single point on PBEsol structure)
# Offset from the most stable computed form, meV/atom: 1458
# Energy, eV/atom: -15.86
data_RbSnPS2
_chemical_formula_sum 'Rb1 Sn1 P1 S2'
_space_group_name_H-M_alt 'P 1'
_space_group_IT_number 1
_cell_length_a 5.167
_cell_length_b 5.294
_cell_length_c 5.294
_cell_angle_alpha 90.00
_cell_angle_beta 90.00
_cell_angle_gamma 90.00
loop_
_space_group_symop_operation_xyz
'x,y,z'
loop_
_atom_site_label
_atom_site_fract_x
_atom_site_fract_y
_atom_site_fract_z
_atom_site_occupancy
P1 0.500 0.000 0.000 1
S1 0.000 0.000 0.500 1
S2 0.000 0.500 0.000 1
Sn1 0.500 0.500 0.500 1
Rb1 0.000 0.000 0.000 1

# 5
# RbSnPS2 (meta-GGA SCAN, single point on PBEsol structure)
# Offset from the most stable computed form, meV/atom: 0
# Energy, eV/atom: -17.31
data_RbSnPS2
_chemical_formula_sum 'Rb1 Sn1 P1 S2'
_space_group_name_H-M_alt 'P 1'
_space_group_IT_number 1
_cell_length_a 5.050
_cell_length_b 5.144
_cell_length_c 5.144
_cell_angle_alpha 90.00
_cell_angle_beta 90.00
_cell_angle_gamma 90.00
loop_
_space_group_symop_operation_xyz
'x,y,z'
loop_
_atom_site_label
_atom_site_fract_x
_atom_site_fract_y
_atom_site_fract_z
_atom_site_occupancy
P1 0.500 0.000 0.000 1
S1 0.000 0.000 0.500 1
S2 0.000 0.500 0.000 1
Sn1 0.000 0.000 0.000 1
Rb1 0.500 0.500 0.500 1

# 6
# RbTeP2S (meta-GGA SCAN, single point on PBEsol structure)
# Energy, eV/atom: -17.27
data_RbTeP2S
_chemical_formula_sum 'Rb1 Te1 P2 S1'
_space_group_name_H-M_alt 'P 1'
_space_group_IT_number 1
_cell_length_a 5.137
_cell_length_b 5.137
_cell_length_c 5.261
_cell_angle_alpha 90.00
_cell_angle_beta 90.00
_cell_angle_gamma 90.00
loop_
_space_group_symop_operation_xyz
'x,y,z'
loop_
_atom_site_label
_atom_site_fract_x
_atom_site_fract_y
_atom_site_fract_z
_atom_site_occupancy
P1 0.000 0.500 0.000 1
P2 0.500 0.000 0.000 1
S1 0.000 0.000 0.500 1
Te1 0.000 0.000 0.000 1
Rb1 0.500 0.500 0.500 1

# 7
# RbTePS2 (meta-GGA SCAN, single point on PBEsol structure)
# Energy, eV/atom: -17.47
data_RbTePS2
_chemical_formula_sum 'Rb1 Te1 P1 S2'
_space_group_name_H-M_alt 'P 1'
_space_group_IT_number 1
_cell_length_a 5.180
_cell_length_b 5.173
_cell_length_c 5.173
_cell_angle_alpha 90.00
_cell_angle_beta 90.00
_cell_angle_gamma 90.00
loop_
_space_group_symop_operation_xyz
'x,y,z'
loop_
_atom_site_label
_atom_site_fract_x
_atom_site_fract_y
_atom_site_fract_z
_atom_site_occupancy
P1 0.500 0.000 0.000 1
S1 0.000 0.000 0.500 1
S2 0.000 0.500 0.000 1
Te1 0.000 0.000 0.000 1
Rb1 0.500 0.500 0.500 1

# 8
# RbVP2S7 (meta-GGA SCAN, single point on PBEsol structure)
# Energy, eV/atom: -12.26
data_RbVP2S7
_chemical_formula_sum 'Rb1 V1 P2 S7'
_space_group_name_H-M_alt 'P 1'
_space_group_IT_number 1
_cell_length_a 6.395
_cell_length_b 6.395
_cell_length_c 6.467
_cell_angle_alpha 95.49
_cell_angle_beta 95.49
_cell_angle_gamma 96.13
loop_
_space_group_symop_operation_xyz
'x,y,z'
loop_
_atom_site_label
_atom_site_fract_x
_atom_site_fract_y
_atom_site_fract_z
_atom_site_occupancy
Rb1 0.891 0.109 0.500 1
V1 0.500 0.500 0.000 1
P1 0.948 0.654 0.919 1
P2 0.346 0.052 0.081 1
S1 0.009 0.991 0.000 1
S2 0.455 0.812 0.224 1
S3 0.682 0.629 0.718 1
S4 0.371 0.318 0.282 1
S5 0.476 0.146 0.826 1
S6 0.854 0.524 0.174 1
S7 0.188 0.545 0.776 1

# 9
# RbZnP2S (meta-GGA SCAN, single point on PBEsol structure)
# Energy, eV/atom: -11.31
data_RbZnP2S
_chemical_formula_sum 'Rb1 Zn1 P2 S1'
_space_group_name_H-M_alt 'P 1'
_space_group_IT_number 1
_cell_length_a 5.977
_cell_length_b 6.707
_cell_length_c 6.707
_cell_angle_alpha 90.00
_cell_angle_beta 90.00
_cell_angle_gamma 90.00
loop_
_space_group_symop_operation_xyz
'x,y,z'
loop_
_atom_site_label
_atom_site_fract_x
_atom_site_fract_y
_atom_site_fract_z
_atom_site_occupancy
P1 0.000 0.000 0.500 1
P2 0.000 0.500 0.000 1
Zn1 0.500 0.500 0.500 1
S1 0.500 0.000 0.000 1
Rb1 0.000 0.000 0.000 1

# 10
# Rb3Zr2P5S18 (meta-GGA SCAN, single point on PBEsol structure)
# Energy, eV/atom: -13.40
data_Rb3Zr2P5S18
_chemical_formula_sum 'Rb6 Zr4 P10 S36'
_space_group_name_H-M_alt 'P 1'
_space_group_IT_number 1
_cell_length_a 6.765
_cell_length_b 6.765
_cell_length_c 33.399
_cell_angle_alpha 94.29
_cell_angle_beta 94.29
_cell_angle_gamma 91.76
loop_
_space_group_symop_operation_xyz
'x,y,z'
loop_
_atom_site_label
_atom_site_fract_x
_atom_site_fract_y
_atom_site_fract_z
_atom_site_occupancy
Rb1 0.260 0.450 0.865 1
Rb2 0.450 0.260 0.365 1
Rb3 0.907 0.672 0.254 1
Rb4 0.672 0.907 0.754 1
Rb5 0.796 0.959 0.572 1
Rb6 0.959 0.796 0.072 1
Zr1 0.130 0.536 0.462 1
Zr2 0.536 0.130 0.962 1
Zr3 0.375 0.511 0.655 1
Zr4 0.511 0.375 0.155 1
P1 0.185 0.733 0.377 1
P2 0.071 0.007 0.944 1
P3 0.282 0.555 0.558 1
P4 0.733 0.185 0.877 1
P5 0.634 0.187 0.241 1
P6 0.834 0.410 0.674 1
P7 0.410 0.834 0.174 1
P8 0.187 0.634 0.741 1
P9 0.555 0.282 0.058 1
P10 0.007 0.071 0.444 1
S1 0.796 0.192 0.192 1
S2 0.399 0.435 0.730 1
S3 0.202 0.610 0.168 1
S4 0.303 0.051 0.141 1
S5 0.408 0.324 0.586 1
S6 0.807 0.286 0.449 1
S7 0.297 0.739 0.324 1
S8 0.192 0.796 0.692 1
S9 0.435 0.399 0.230 1
S10 0.286 0.807 0.949 1
S11 0.842 0.917 0.975 1
S12 0.784 0.191 0.294 1
S13 0.504 0.999 0.887 1
S14 0.051 0.303 0.641 1
S15 0.671 0.726 0.156 1
S16 0.726 0.671 0.656 1
S17 0.610 0.202 0.668 1
S18 0.385 0.739 0.425 1
S19 0.435 0.640 0.512 1
S20 0.913 0.457 0.737 1
S21 0.191 0.784 0.794 1
S22 0.287 0.776 0.604 1
S23 0.917 0.842 0.475 1
S24 0.488 0.002 0.034 1
S25 0.011 0.994 0.381 1
S26 0.739 0.385 0.925 1
S27 0.280 0.192 0.463 1
S28 0.999 0.504 0.387 1
S29 0.994 0.011 0.881 1
S30 0.457 0.913 0.237 1
S31 0.640 0.435 0.012 1
S32 0.192 0.280 0.963 1
S33 0.776 0.287 0.104 1
S34 0.739 0.297 0.824 1
S35 0.002 0.488 0.534 1
S36 0.324 0.408 0.086 1

# 11
# RbSbP3 (meta-GGA SCAN, single point on PBEsol structure)
# Energy, eV/atom: -15.65
data_RbSbP3
_chemical_formula_sum 'Rb1 Sb1 P3'
_space_group_name_H-M_alt 'P 1'
_space_group_IT_number 1
_cell_length_a 5.151
_cell_length_b 5.151
_cell_length_c 5.151
_cell_angle_alpha 90.00
_cell_angle_beta 90.00
_cell_angle_gamma 90.00
loop_
_space_group_symop_operation_xyz
'x,y,z'
loop_
_atom_site_label
_atom_site_fract_x
_atom_site_fract_y
_atom_site_fract_z
_atom_site_occupancy
Sb1 0.500 0.500 0.500 1
Rb1 0.000 0.000 0.000 1
P1 0.000 0.500 0.000 1
P2 0.000 0.000 0.500 1
P3 0.500 0.000 0.000 1

# 12
# RbScP2 (meta-GGA SCAN, single point on PBEsol structure)
# Energy, eV/atom: -13.99
data_RbScP2
_chemical_formula_sum 'Rb1 Sc1 P2'
_space_group_name_H-M_alt 'P 1'
_space_group_IT_number 1
_cell_length_a 4.928
_cell_length_b 4.928
_cell_length_c 4.928
_cell_angle_alpha 60.00
_cell_angle_beta 60.00
_cell_angle_gamma 60.00
loop_
_space_group_symop_operation_xyz
'x,y,z'
loop_
_atom_site_label
_atom_site_fract_x
_atom_site_fract_y
_atom_site_fract_z
_atom_site_occupancy
Sc1 0.000 0.000 0.000 1
P1 0.250 0.250 0.250 1
P2 0.750 0.750 0.750 1
Rb1 0.500 0.500 0.500 1

# 13
# Rb4P2Se9 (meta-GGA SCAN, single point on PBEsol structure)
# Energy, eV/atom: -19.75
data_Rb4P2Se9
_chemical_formula_sum 'Rb8 P4 Se18'
_space_group_name_H-M_alt 'P 1'
_space_group_IT_number 1
_cell_length_a 7.081
_cell_length_b 7.081
_cell_length_c 19.130
_cell_angle_alpha 91.85
_cell_angle_beta 91.85
_cell_angle_gamma 94.35
loop_
_space_group_symop_operation_xyz
'x,y,z'
loop_
_atom_site_label
_atom_site_fract_x
_atom_site_fract_y
_atom_site_fract_z
_atom_site_occupancy
Rb1 0.223 0.713 0.526 1
Rb2 0.777 0.287 0.474 1
Rb3 0.435 0.246 0.680 1
Rb4 0.565 0.754 0.320 1
Rb5 0.754 0.565 0.820 1
Rb6 0.713 0.223 0.026 1
Rb7 0.287 0.777 0.974 1
Rb8 0.246 0.435 0.180 1
P1 0.747 0.728 0.618 1
P2 0.272 0.253 0.882 1
P3 0.253 0.272 0.382 1
P4 0.728 0.747 0.118 1
Se1 0.039 0.009 0.354 1
Se2 0.470 0.882 0.142 1
Se3 0.961 0.991 0.646 1
Se4 0.496 0.754 0.679 1
Se5 0.727 0.789 0.507 1
Se6 0.273 0.211 0.493 1
Se7 0.530 0.118 0.858 1
Se8 0.991 0.961 0.146 1
Se9 0.246 0.504 0.821 1
Se10 0.009 0.039 0.854 1
Se11 0.789 0.727 0.007 1
Se12 0.504 0.246 0.321 1
Se13 0.754 0.496 0.179 1
Se14 0.211 0.273 0.993 1
Se15 0.108 0.892 0.750 1
Se16 0.882 0.470 0.642 1
Se17 0.118 0.530 0.358 1
Se18 0.892 0.108 0.250 1

# 14
# RbPSe6 (meta-GGA SCAN, single point on PBEsol structure)
# Energy, eV/atom: -19.37
data_RbPSe6
_chemical_formula_sum 'Rb4 P4 Se24'
_space_group_name_H-M_alt 'P 1'
_space_group_IT_number 1
_cell_length_a 6.752
_cell_length_b 11.208
_cell_length_c 11.870
_cell_angle_alpha 90.00
_cell_angle_beta 90.00
_cell_angle_gamma 90.00
loop_
_space_group_symop_operation_xyz
'x,y,z'
loop_
_atom_site_label
_atom_site_fract_x
_atom_site_fract_y
_atom_site_fract_z
_atom_site_occupancy
P1 0.728 0.184 0.169 1
P2 0.272 0.684 0.831 1
P3 0.272 0.184 0.669 1
P4 0.728 0.684 0.331 1
Rb1 0.316 0.871 0.130 1
Rb2 0.684 0.371 0.870 1
Rb3 0.684 0.871 0.630 1
Rb4 0.316 0.371 0.370 1
Se1 0.827 0.006 0.089 1
Se2 0.173 0.506 0.911 1
Se3 0.173 0.006 0.589 1
Se4 0.827 0.506 0.411 1
Se5 0.763 0.059 0.900 1
Se6 0.237 0.559 0.100 1
Se7 0.237 0.059 0.400 1
Se8 0.763 0.559 0.600 1
Se9 0.433 0.976 0.871 1
Se10 0.567 0.476 0.129 1
Se11 0.567 0.976 0.371 1
Se12 0.433 0.476 0.629 1
Se13 0.241 0.156 0.857 1
Se14 0.759 0.656 0.143 1
Se15 0.759 0.156 0.357 1
Se16 0.241 0.656 0.643 1
Se17 0.420 0.218 0.123 1
Se18 0.580 0.718 0.877 1
Se19 0.580 0.218 0.623 1
Se20 0.420 0.718 0.377 1
Se21 0.939 0.329 0.138 1
Se22 0.061 0.829 0.862 1
Se23 0.061 0.329 0.638 1
Se24 0.939 0.829 0.362 1